Entry from the Alexandria database: a relaxed structure of ScPPt2Rh (PBE). Values from VASP.

The value obtained for the density is 8.62 g cm⁻³. The value obtained for the energy is -5.50 eV per atom. The formation enthalpy at 0 K comes out at 3.69 eV per formula unit. Its magnetic moment is 0.09 μB per atom.

```
&SYSTEM
  ibrav = 0, nat = 5, ntyp = 4
/
ATOMIC_SPECIES
Sc 44.96 Sc.upf
P 30.97 P.upf
Rh 102.91 Rh.upf
Pt 195.08 Pt.upf
ATOMIC_POSITIONS crystal
Sc 0.000 0.500 0.000
P 0.500 0.500 0.500
Rh 0.000 0.000 0.000
Pt 0.000 0.000 0.500
Pt 0.500 0.000 0.000
CELL_PARAMETERS angstrom
-2.075 -4.402 -0.252
4.169 -1.976 0.199
-0.297 -0.138 4.862
```